[1]
Density functional theory data (PBE-GGA) for crystalline La8Sm3Mg at its relaxed geometry.

Crystal system: tetragonal
Formation energy: 0.441 eV per atom

Cell: 8.553 8.553 8.553 Å, 118.14 118.14 93.26°
Fractional positions:
La  0.121  0.121  0.745
La  0.248  0.747  0.000
La  0.253  0.253  0.500
La  0.376  0.376  0.255
La  0.624  0.879  0.000
La  0.747  0.248  0.000
La  0.752  0.752  0.500
La  0.879  0.624  0.000
Sm  0.000  0.000  0.000
Sm  0.250  0.750  0.500
Sm  0.750  0.250  0.500
Mg  0.500  0.500  0.000

---

[2]
Density functional theory data (PBE-GGA) for crystalline La5Sm5Mg2 at its relaxed geometry.

Crystal system: monoclinic
Formation energy: -0.002 eV per atom

Cell: 9.338 9.338 13.326 Å, 117.34 117.34 23.18°
Fractional positions:
La  0.000  0.000  0.000
La  0.120  0.120  0.755
La  0.162  0.162  0.490
La  0.838  0.838  0.510
La  0.880  0.880  0.245
Sm  0.204  0.204  0.255
Sm  0.328  0.328  0.988
Sm  0.500  0.500  0.500
Sm  0.672  0.672  0.012
Sm  0.796  0.796  0.745
Mg  0.460  0.460  0.757
Mg  0.540  0.540  0.243

---

no.,calculated total energy (eV for the cell shown)
1,-49.88
2,-51.44